12
Lattice="-1.8148 1.1071 3.3681 1.7307 -3.0257 1.9270 9.3276 7.0586 2.7058" Properties=species:S:1:pos:R:3 comment="PBE-GGA Mg2CdPt9, optimized geometry" m_tot_mub_per_cell=0.0 ef_mev_per_atom=-462.6 vol_a3_per_cell=190 e_tot_ha_per_atom=-0.1961 pbc="T T T"
Pt 3.0976 1.4166 3.5583
Pt 3.7564 4.0828 3.0370
Pt 6.8071 6.3914 3.9219
Pt 0.7057 1.7742 2.1520
Pt 5.5291 2.0165 2.3164
Pt 2.4784 -0.2921 1.4314
Pt 8.5798 4.3251 3.2014
Pt 6.1459 3.7234 4.4426
Pt -0.0421 -0.9593 2.6476
Mg 6.1986 4.6907 1.7981
Mg 3.1290 2.3679 0.9077
Cd 0.0000 0.0000 0.0000